Y2BeHgN after structural relaxation. Source: Alexandria via LeMat-Bulk, functional PBE-GGA.

Cell: 5.1028 5.1028 3.4729 Å, 90.00 90.00 90.00°
Fractional positions:
1 Y 0.0000 0.5000 0.0000
2 Y 0.5000 0.0000 0.0000
3 Hg 0.5000 0.5000 0.5000
4 N 0.0000 0.0000 0.0000
5 Be 0.0000 0.0000 0.5000

Computed properties:
Total DFT energy (no corrections) in eV per atom: -5.76
Energy relative to the elements, uncorrected in eV/atom: -0.70
Total magnetization in Bohr magnetons per cell: 0.00
Space group: P4/mmm